Density functional theory data (PBE-GGA) for a relaxed Sm12Ho7Zr crystal.

```
20
Lattice="-3.922 0.995 -4.593 -0.080 -11.444 0.308 -5.392 5.447 8.504" Properties=species:S:1:pos:R:3 pbc="T T T"
Sm -1.321 -5.680 1.255
Sm -3.517 1.300 4.647
Sm -2.313 -6.828 -2.442
Sm -3.571 2.343 1.057
Sm -5.154 -1.037 2.819
Sm -3.819 -3.804 5.375
Sm -5.576 -1.198 -1.156
Sm -4.240 -3.965 1.400
Sm -5.823 -7.344 3.162
Sm -7.081 1.826 6.661
Sm -5.877 -6.302 -0.428
Sm -8.073 0.679 2.964
Ho -0.522 -8.567 -0.300
Ho -4.767 2.189 -2.004
Ho -6.671 -3.907 3.739
Ho -1.961 0.498 -2.297
Ho -2.723 -1.094 0.479
Ho -4.627 -7.191 6.223
Ho -8.872 3.565 4.519
Zr 0.000 0.000 0.000
```

Excess energy over the best structure of this formula in the dataset   0.0 meV per atom
Crystal system   trigonal

=====

Density functional theory data (PBE-GGA) for a relaxed SmHo2Zr crystal.

```
4
Lattice="5.501 0.000 0.000 2.751 4.764 0.000 2.751 1.588 4.492" Properties=species:S:1:pos:R:3 pbc="T T T"
Zr 5.501 3.176 2.246
Ho 2.751 1.588 1.123
Ho 8.252 4.764 3.369
Sm 0.000 0.000 0.000
```

Excess energy over the best structure of this formula in the dataset   144.9 meV per atom
Crystal system   cubic

=====

Density functional theory data (PBE-GGA) for a relaxed Sm2Ho6Zr crystal.

```
9
Lattice="-0.550 0.695 -3.292 -1.861 -9.266 -1.645 -7.674 6.663 -0.877" Properties=species:S:1:pos:R:3 pbc="T T T"
Sm -5.920 1.585 -2.230
Sm -4.165 -3.493 -3.585
Ho -7.493 -4.196 -4.954
Ho -3.197 -0.725 -1.395
Ho -2.592 2.288 -0.860
Ho -0.880 -2.666 -2.181
Ho -6.888 -1.183 -4.419
Ho -1.530 -5.905 -2.756
Zr 0.000 0.000 0.000
```

Crystal system   monoclinic

=====

Density functional theory data (PBE-GGA) for a relaxed Sm8Ho5Zr crystal.

```
14
Lattice="-5.692 -5.507 3.531 4.332 -7.612 -2.383 3.835 6.396 4.425" Properties=species:S:1:pos:R:3 pbc="T T T"
Sm 2.126 -4.677 -1.060
Sm -2.632 -1.592 6.059
Sm -1.628 -3.807 3.822
Sm -0.411 -8.196 1.130
Sm 2.750 1.537 5.025
Sm 4.122 -4.661 3.735
Sm 1.258 -2.482 2.737
Sm 4.308 -3.014 0.874
Ho -3.621 -6.565 2.949
Ho 0.953 1.387 1.499
Ho 0.922 -5.914 3.937
Ho 3.398 -7.165 1.619
Ho 2.752 -8.699 -1.198
Zr 3.741 -0.444 2.490
```

Crystal system   monoclinic

=====

Density functional theory data (PBE-GGA) for a relaxed SmHo2Zr crystal.

```
4
Lattice="-2.297 3.452 -2.579 1.311 -2.218 -4.137 -4.096 -2.638 0.117" Properties=species:S:1:pos:R:3 pbc="T T T"
Zr -1.149 1.726 -1.290
Ho -2.048 -1.319 0.058
Ho 0.655 -1.109 -2.068
Sm -2.541 -0.702 -3.299
```

Excess energy over the best structure of this formula in the dataset   22.8 meV per atom
Crystal system   tetragonal

=====

Density functional theory data (PBE-GGA) for a relaxed SmHo2Zr crystal.

```
4
Lattice="4.007 0.000 0.000 0.000 4.007 0.000 0.000 0.000 7.336" Properties=species:S:1:pos:R:3 pbc="T T T"
Zr 2.004 2.004 0.000
Ho 0.000 0.000 5.711
Ho 0.000 0.000 1.625
Sm 2.004 2.004 3.668
```

Excess energy over the best structure of this formula in the dataset   93.6 meV per atom
Crystal system   tetragonal

=====

Density functional theory data (PBE-GGA) for a relaxed SmHo2Zr crystal.

```
4
Lattice="-2.722 0.068 -2.144 0.454 -0.530 -3.395 -2.233 -11.194 -0.320" Properties=species:S:1:pos:R:3 pbc="T T T"
Sm -2.250 -5.821 -2.931
Ho -1.889 -8.621 -0.676
Ho -1.101 -2.730 -1.490
Zr -1.512 -0.313 -3.692
```

Excess energy over the best structure of this formula in the dataset   0.0 meV per atom
Crystal system   trigonal

=====

Density functional theory data (PBE-GGA) for a relaxed Sm5Ho3Zr12 crystal.

```
80
Lattice="-13.906 -4.295 -5.186 9.135 -12.410 1.129 -1.493 6.577 13.901" Properties=species:S:1:pos:R:3 pbc="T T T"
Ho -7.191 -7.053 -1.728
Ho -5.504 -12.244 -1.953
Ho 0.703 -6.807 7.590
Ho -2.895 -0.159 4.057
Ho -11.399 -3.665 -0.921
Ho 0.121 -7.723 2.236
Ho -6.386 -2.405 7.608
Ho 5.135 -6.463 10.765
Ho -3.370 -9.969 5.786
Ho -6.968 -3.321 2.254
Ho -0.761 2.116 11.797
Ho 0.926 -3.075 11.572
Sm 1.314 -3.546 3.250
Sm 4.567 -6.205 0.564
Sm 0.000 0.000 0.000
Sm -3.118 -3.891 0.075
Sm -7.700 1.141 4.357
Sm -2.386 -8.353 -2.028
Sm 4.553 -7.378 5.411
Sm -10.594 0.982 8.415
Sm -5.280 -8.511 2.029
Sm -5.193 1.771 8.622
Sm -1.072 -11.899 1.222
Sm -3.132 -5.064 4.922
Sm -6.953 -2.148 -2.593
Sm -0.747 3.289 6.950
Sm -0.984 -1.617 7.815
Sm 4.330 -11.110 1.429
Sm 3.821 -2.916 7.515
Sm -10.817 -2.750 4.433
Sm -3.147 -6.237 9.769
Sm -7.579 -6.582 6.594
Zr -8.861 -4.466 -2.366
Zr -0.272 -6.001 4.838
Zr -9.915 -6.415 -0.570
Zr -6.331 -4.359 -0.645
Zr -2.283 -7.309 6.740
Zr -7.708 -10.009 -2.138
Zr 1.399 -8.312 4.918
Zr 7.312 -10.749 2.857
Zr -0.501 -9.521 6.992
Zr -5.103 -9.341 -1.187
Zr -7.481 -6.137 1.266
Zr -3.556 -14.704 -2.164
Zr 3.629 -5.839 8.212
Zr -0.943 -6.385 -0.264
Zr 6.985 -9.646 5.467
Zr -5.347 -0.029 5.829
Zr -0.100 -0.549 2.959
Zr 0.037 -9.276 -0.497
Zr -3.909 -13.399 0.348
Zr 1.636 -5.514 0.588
Zr 2.368 -7.715 9.951
Zr -2.518 -7.756 3.721
Zr -6.019 -10.811 4.316
Zr -8.811 -1.691 9.275
Zr -3.747 -2.372 6.122
Zr -0.245 0.683 5.528
Zr 2.546 -8.437 0.569
Zr -2.355 3.271 9.496
Zr -8.632 -2.412 -0.107
Zr -7.901 -4.613 9.256
Zr -6.302 -0.852 10.341
Zr -0.917 -10.099 4.015
Zr -6.165 -9.579 6.885
Zr -13.249 -0.481 4.376
Zr -9.894 -4.289 1.632
Zr -2.708 4.576 12.007
Zr -5.322 -3.743 10.108
Zr -5.764 -0.607 2.852
Zr -1.162 -0.787 11.031
Zr 1.217 -3.991 8.578
Zr -13.577 0.621 6.987
Zr -7.663 -1.816 4.926
Zr 0.067 -5.769 10.489
Zr 1.443 -0.119 11.982
Zr -3.982 -2.819 3.103
Zr 3.651 -3.712 10.414
Zr -5.993 -4.126 5.006
Zr 2.596 -5.662 12.210
```

Crystal system   cubic

=====

Density functional theory data (PBE-GGA) for a relaxed SmHo2Zr crystal.

```
4
Lattice="-2.273 -0.615 -2.400 1.000 -1.048 -3.034 -1.222 -11.970 1.868" Properties=species:S:1:pos:R:3 pbc="T T T"
Zr 0.000 0.000 0.000
Ho -1.016 -9.032 0.921
Ho -1.479 -4.601 -4.487
Sm -1.247 -6.816 -1.783
```

Excess energy over the best structure of this formula in the dataset   230.4 meV per atom
Crystal system   trigonal

=====

Density functional theory data (PBE-GGA) for a relaxed Sm14HoZr crystal.

```
16
Lattice="7.124 0.956 0.000 -0.956 7.125 0.000 0.000 0.000 10.140" Properties=species:S:1:pos:R:3 pbc="T T T"
Sm 2.074 4.812 5.070
Sm 6.114 1.728 5.070
Sm 5.637 5.287 0.000
Sm 5.637 5.291 5.070
Sm 2.554 1.249 0.000
Sm 2.550 1.248 5.070
Sm 3.647 6.872 7.672
Sm 3.647 6.872 2.468
Sm 0.501 2.751 7.672
Sm 0.501 2.751 2.468
Sm 0.013 6.385 7.674
Sm 0.013 6.385 2.466
Sm 4.135 3.238 7.671
Sm 4.135 3.238 2.469
Ho 2.076 4.810 0.000
Zr 6.114 1.727 0.000
```

Crystal system   tetragonal

=====

Density functional theory data (PBE-GGA) for a relaxed Ho4Sn crystal.

```
10
Lattice="-7.515 -1.172 0.223 3.579 -0.798 -6.668 2.992 -5.334 4.528" Properties=species:S:1:pos:R:3 pbc="T T T"
Ho -3.022 -2.851 -1.109
Ho 2.826 -4.077 0.419
Ho 0.602 -1.435 -1.392
Ho 4.751 -5.306 -2.743
Ho 0.499 -5.799 -1.794
Ho 3.355 -1.692 -4.794
Ho -0.268 -3.108 -4.511
Ho -1.425 -4.570 1.368
Sn -1.968 -0.985 -3.222
Sn 2.302 -3.558 -2.681
```

Excess energy over the best structure of this formula in the dataset   0.0 meV per atom
Crystal system   tetragonal

=====

Density functional theory data (PBE-GGA) for a relaxed Ho5Sn3 crystal.

```
16
Lattice="0.498 -6.735 -4.529 3.461 -3.928 6.222 -8.129 3.398 1.353" Properties=species:S:1:pos:R:3 pbc="T T T"
Ho 0.000 0.000 0.000
Ho 1.979 -5.332 0.847
Ho -5.412 -1.058 -1.307
Ho -3.191 -1.647 4.384
Ho -3.589 -4.281 0.957
Ho -5.014 1.576 2.120
Ho 1.242 -6.207 4.354
Ho -0.979 -5.618 -1.338
Ho -0.582 -2.985 2.089
Ho 0.844 -8.841 0.926
Sn -1.095 -6.298 1.946
Sn -3.075 -0.967 1.100
Sn 2.299 -3.495 3.354
Sn 1.660 -7.168 -1.661
Sn 0.674 -2.964 -0.720
Sn 3.284 -7.699 2.414
```

Excess energy over the best structure of this formula in the dataset   76.6 meV per atom
Crystal system   tetragonal

=====

Density functional theory data (PBE-GGA) for a relaxed Ho3Sn2 crystal.

```
20
Lattice="-0.649 -3.923 -1.840 10.789 -0.040 -3.718 3.463 -5.313 10.106" Properties=species:S:1:pos:R:3 pbc="T T T"
Ho 8.554 -3.940 2.776
Ho 9.398 -1.293 -3.164
Ho 5.049 -5.336 1.772
Ho 4.205 -7.983 7.712
Ho 2.333 -6.279 4.740
Ho 4.704 -3.638 -1.727
Ho 11.271 -2.997 -0.191
Ho 8.900 -5.638 6.275
Ho 5.503 -4.847 5.785
Ho 2.861 -2.187 1.046
Ho 8.101 -4.429 -1.237
Ho 10.743 -7.089 3.502
Sn 3.506 -3.587 3.803
Sn 6.683 -6.248 8.358
Sn 10.098 -5.689 0.746
Sn 6.921 -3.028 -3.809
Sn 7.234 -6.622 3.744
Sn 0.228 -3.946 0.508
Sn 6.370 -2.654 0.804
Sn 13.376 -5.329 4.040
```

Crystal system   orthorhombic

=====

Density functional theory data (PBE-GGA) for a relaxed Ho2Sn3 crystal.

```
10
Lattice="4.487 0.000 0.000 0.000 7.637 0.000 0.000 0.000 7.637" Properties=species:S:1:pos:R:3 pbc="T T T"
Ho 2.244 5.301 6.537
Ho 2.244 1.100 5.301
Ho 2.244 6.537 2.337
Ho 2.244 2.337 1.100
Sn 0.000 3.029 6.313
Sn 0.000 6.313 4.609
Sn 0.000 4.609 1.324
Sn 0.000 1.324 3.029
Sn 2.244 3.819 3.819
Sn 0.000 0.000 0.000
```

Crystal system   tetragonal

=====

Density functional theory data (PBE-GGA) for a relaxed Ho3Sn4 crystal.

```
14
Lattice="-0.728 -1.824 -3.854 5.974 0.864 0.890 1.072 -14.030 6.437" Properties=species:S:1:pos:R:3 pbc="T T T"
Ho 1.580 -2.308 -1.633
Ho 4.768 -12.691 5.106
Ho 1.904 -6.572 0.324
Ho 4.438 -8.427 3.150
Ho 4.794 -4.466 -1.219
Ho 1.551 -10.535 4.693
Sn 2.528 -3.531 1.194
Sn 3.816 -11.467 2.279
Sn 4.300 -1.553 -0.077
Sn 0.016 -0.005 -0.001
Sn 4.603 -5.542 1.754
Sn 2.048 -13.447 3.550
Sn 0.549 -7.020 3.219
Sn 1.739 -9.457 1.720
```

Crystal system   orthorhombic

=====

Density functional theory data (PBE-GGA) for a relaxed HoSn5 crystal.

```
6
Lattice="-3.396 -0.519 2.978 2.542 -3.031 2.372 1.572 7.216 3.050" Properties=species:S:1:pos:R:3 pbc="T T T"
Ho 0.000 0.000 0.000
Sn 2.167 0.280 2.520
Sn 1.948 3.905 2.902
Sn -0.427 -1.775 2.675
Sn -0.740 1.662 2.917
Sn 1.458 2.004 5.483
```

Excess energy over the best structure of this formula in the dataset   5.6 meV per atom
Crystal system   orthorhombic

=====

Density functional theory data (PBE-GGA) for a relaxed Ho3Sn crystal.

```
4
Lattice="4.655 0.000 0.000 0.000 4.655 0.000 -2.328 -2.328 5.138" Properties=species:S:1:pos:R:3 pbc="T T T"
Ho 2.328 0.000 2.569
Ho 0.000 2.328 2.569
Ho 2.328 2.328 0.000
Sn 0.000 0.000 0.000
```

Crystal system   tetragonal

=====

Density functional theory data (PBE-GGA) for a relaxed Ho5Sn2 crystal.

```
14
Lattice="-3.020 0.135 -3.401 0.012 -4.556 -0.191 -13.131 -0.652 14.679" Properties=species:S:1:pos:R:3 pbc="T T T"
Ho -15.094 -1.614 10.295
Ho -1.046 -3.459 0.791
Ho -2.550 -1.113 -0.824
Ho -13.589 -3.960 11.910
Ho -8.828 -1.364 4.740
Ho -7.312 -3.709 6.346
Ho -5.151 -1.345 4.521
Ho -10.988 -3.728 6.565
Ho -11.411 -1.595 10.069
Ho -4.728 -3.478 1.016
Sn -2.808 -1.251 2.444
Sn -13.331 -3.822 8.642
Sn -9.063 -1.501 7.988
Sn -7.076 -3.572 3.098
```

Crystal system   orthorhombic

=====

Density functional theory data (PBE-GGA) for a relaxed Ho3Sn crystal.

```
4
Lattice="3.541 0.000 0.000 0.000 5.831 0.000 -1.770 -2.915 5.509" Properties=species:S:1:pos:R:3 pbc="T T T"
Ho 0.000 2.003 2.966
Ho 1.770 2.768 0.000
Ho 1.770 -0.912 2.543
Sn 0.000 0.028 0.000
```

Crystal system   orthorhombic

=====

Computed N(E_F), in the same sequence as the records: 30.2, 7.6, 12.9, 20.2, 4.7, 8.3, 6.4, 128.9, 5.7, 22.6, 16.0, 13.6, 9.3, 6.8, 5.3, 3.2, 4.3, 14.3, 3.5 states/eV/cell.
Computed DFT formation energy, in the same sequence as the records: 0.231, 0.222, 0.107, 0.200, 0.100, 0.170, 0.077, 1.190, 0.307, 0.043, -0.073, -0.643, -0.585, -0.601, -0.634, -0.227, -0.387, -0.462, -0.352 eV per atom.